1.
# La2Nd5DyEr

La2Nd5DyEr after structural relaxation (PBE-GGA, Alexandria).

## Properties
DOS at the Fermi energy	12.98	states/eV/f.u.
E_tot	-83.49	eV per cell
energy of formation	0.1235	eV/atom
symmetry	Cmc2_1, No. 36

a = 5.7385 Å, b = 10.6313 Å, c = 10.8432 Å
α = 90.00°, β = 90.00°, γ = 105.66°
Positions (direct):
Er 0.4069 0.8139 0.4642
Nd 0.5175 0.0351 0.2433
Nd 0.0155 0.0310 0.0196
Nd 0.3850 0.7700 0.0216
La 0.8830 0.7660 0.8162
Nd 0.2958 0.5916 0.7029
Nd 0.7042 0.4084 0.2029
Nd 0.9845 0.9690 0.5196
Nd 0.7221 0.4441 0.8116
La 0.1170 0.2340 0.3162
Dy 0.2000 0.4000 0.0098
Nd 0.6150 0.2300 0.5216
La 0.1139 0.2279 0.7348
La 0.8861 0.7721 0.2348
Nd 0.2779 0.5559 0.3116
Er 0.5931 0.1861 0.9642
Dy 0.8000 0.6000 0.5098
Nd 0.4825 0.9649 0.7433



2.
# NiSb2Os

NiSb2Os after structural relaxation (PBE-GGA, Alexandria).

## Properties
energy relative to the lowest polymorph listed for this composition	27	meV per atom
DOS at the Fermi energy	2.64	states/eV/f.u.
E_tot	-24.40	eV per cell
E_form (uncorrected)	213.8	meV per atom
symmetry	P4mm, No. 99

a = 3.2024 Å, b = 3.2024 Å, c = 7.7951 Å
α = 90.00°, β = 90.00°, γ = 90.00°
Positions (direct):
Ni 0.0000 0.0000 0.5203
Os 0.5000 0.5000 0.7168
Sb 0.5000 0.5000 0.3473
Sb 0.0000 0.0000 0.9156



3.
# KNaPb4

KNaPb4 after structural relaxation (PBE-GGA, Alexandria).

## Properties
energy relative to the lowest polymorph listed for this composition	0	meV per atom
DOS at the Fermi energy	2.39	states/eV/f.u.
E_tot	-17.90	eV per cell
energy of formation	-0.1086	eV/atom
symmetry	P2/m, No. 10

a = 3.5950 Å, b = 5.5767 Å, c = 9.5936 Å
α = 90.00°, β = 88.59°, γ = 90.00°
Positions (direct):
Pb 0.8328 0.0000 0.3461
Na 0.5000 0.5000 0.5000
K 0.5000 0.0000 0.0000
Pb 0.9422 0.5000 0.8194
Pb 0.1672 0.0000 0.6539
Pb 0.0578 0.5000 0.1806



4.
# PuTh2Pt2

PuTh2Pt2 after structural relaxation (PBE-GGA, Alexandria).

## Properties
DOS at the Fermi energy	10.53	states/eV/f.u.
E_tot	-91.31	eV per cell
energy of formation	-0.8803	eV/atom
symmetry	P4/mbm, No. 127

a = 3.9224 Å, b = 8.0073 Å, c = 8.0073 Å
α = 90.00°, β = 90.00°, γ = 90.00°
Positions (direct):
Pt 0.0000 0.3697 0.8697
Pu 0.0000 0.5000 0.5000
Pu 0.0000 0.0000 0.0000
Th 0.5000 0.6707 0.8293
Pt 0.0000 0.1303 0.3697
Pt 0.0000 0.8697 0.6303
Th 0.5000 0.8293 0.3293
Th 0.5000 0.1707 0.6707
Th 0.5000 0.3293 0.1707
Pt 0.0000 0.6303 0.1303



5.
# Mn2VTcPd

Mn2VTcPd after structural relaxation (PBE-GGA, Alexandria).

## Properties
energy relative to the lowest polymorph listed for this composition	262	meV per atom
DOS at the Fermi energy	9.05	states/eV/f.u.
E_tot	-35.77	eV per cell
energy of formation	1.4487	eV/atom
symmetry	P4/mmm, No. 123

a = 4.4006 Å, b = 4.8677 Å, c = 4.4006 Å
α = 90.00°, β = 90.00°, γ = 90.00°
Positions (direct):
Mn 0.5000 0.0000 0.0000
V 0.5000 0.5000 0.5000
Mn 0.0000 0.0000 0.5000
Tc 0.0000 0.0000 0.0000
Pd 0.0000 0.5000 0.0000



6.
# MnPt2Br

MnPt2Br after structural relaxation (PBE-GGA, Alexandria).

## Properties
energy relative to the lowest polymorph listed for this composition	86	meV per atom
DOS at the Fermi energy	1.98	states/eV/f.u.
E_tot	-22.38	eV per cell
E_form (uncorrected)	135.9	meV per atom
symmetry	P4mm, No. 99

a = 3.4806 Å, b = 3.4806 Å, c = 7.1165 Å
α = 90.00°, β = 90.00°, γ = 90.00°
Positions (direct):
Br 0.0000 0.0000 0.5687
Pt 0.0000 0.0000 0.0206
Pt 0.5000 0.5000 0.1334
Mn 0.5000 0.5000 0.7772



7.
# GdHfAgAu

GdHfAgAu after structural relaxation (PBE-GGA, Alexandria).

## Properties
DOS at the Fermi energy	4.10	states/eV/f.u.
E_tot	-31.27	eV per cell
energy of formation	-0.2777	eV/atom
symmetry	F-43m, No. 216

a = 4.9877 Å, b = 4.9877 Å, c = 4.9877 Å
α = 60.00°, β = 60.00°, γ = 60.00°
Positions (direct):
Hf 0.5000 0.5000 0.5000
Au 0.7500 0.7500 0.7500
Ag 0.2500 0.2500 0.2500
Gd 0.0000 0.0000 0.0000



8.
# La2ZrMo

La2ZrMo after structural relaxation (PBE-GGA, Alexandria).

## Properties
energy relative to the lowest polymorph listed for this composition	285	meV per atom
DOS at the Fermi energy	5.09	states/eV/f.u.
E_tot	-27.31	eV per cell
energy of formation	0.4821	eV/atom
symmetry	P4/mmm, No. 123

a = 5.2696 Å, b = 4.3589 Å, c = 4.3589 Å
α = 90.00°, β = 90.00°, γ = 90.00°
Positions (direct):
Mo 0.5000 0.5000 0.0000
La 0.0000 0.0000 0.0000
La 0.0000 0.5000 0.5000
Zr 0.5000 0.0000 0.5000